No. 1
Compound: Co2RuPt
Source: Alexandria
Functional: PBE
Structure: optimized geometry

Structure (CIF):
```
data_Co2RuPt
_cell_length_a 2.6332
_cell_length_b 4.3776
_cell_length_c 4.7189
_cell_angle_alpha 90.00
_cell_angle_beta 91.13
_cell_angle_gamma 90.00
_symmetry_space_group_name_H-M 'P 1 2/m 1'
_symmetry_Int_Tables_number 10
_symmetry_space_group_name_Hall '-P 2y'
loop_
_atom_site_label
_atom_site_type_symbol
_atom_site_fract_x
_atom_site_fract_y
_atom_site_fract_z
Co1 Co 0.1806 0.0000 0.2349
Ru1 Ru 0.5000 0.5000 0.0000
Pt1 Pt 0.0000 0.5000 0.5000
```

Values from the calculation:
Total magnetization ... 1.244 μB per atom
Energy relative to the elements ... 0.235 eV/atom
DFT total energy ... -28.59 eV/f.u.
Polymorph energy (0 for the lowest one) ... 0.68 eV per formula unit
Density of states at the Fermi level ... 6.457 states/eV per cell

---

No. 2
Compound: DyGa2CuAu4
Source: Alexandria
Functional: PBE
Structure: optimized geometry

Structure (CIF):
```
data_DyGa2CuAu4
_cell_length_a 4.4944
_cell_length_b 4.4944
_cell_length_c 25.3704
_cell_angle_alpha 90.00
_cell_angle_beta 90.00
_cell_angle_gamma 120.00
_symmetry_space_group_name_H-M 'R -3 m'
_symmetry_Int_Tables_number 166
_symmetry_space_group_name_Hall '-R 3 2"'
loop_
_atom_site_label
_atom_site_type_symbol
_atom_site_fract_x
_atom_site_fract_y
_atom_site_fract_z
Dy1 Dy 0.0000 0.0000 0.0000
Ga1 Ga 0.0000 0.0000 0.2462
Cu1 Cu 0.0000 0.0000 0.5000
Au1 Au 0.0000 0.0000 0.1336
Au2 Au 0.0000 0.0000 0.3946
```

Values from the calculation:
Total magnetization ... 0.000 μB per atom
Energy relative to the elements ... -0.389 eV/atom
DFT total energy ... -30.97 eV/f.u.
Density of states at the Fermi level ... 8.063 states/eV per cell

---

No. 3
Compound: Ba2NaGaBi
Source: Alexandria
Functional: PBE
Structure: optimized geometry

Structure (CIF):
```
data_Ba2NaGaBi
_cell_length_a 6.7955
_cell_length_b 6.7955
_cell_length_c 5.7657
_cell_angle_alpha 90.00
_cell_angle_beta 90.00
_cell_angle_gamma 90.00
_symmetry_space_group_name_H-M 'P 4/m m m'
_symmetry_Int_Tables_number 123
_symmetry_space_group_name_Hall '-P 4 2'
loop_
_atom_site_label
_atom_site_type_symbol
_atom_site_fract_x
_atom_site_fract_y
_atom_site_fract_z
Ba1 Ba 0.0000 0.5000 0.0000
Na1 Na 0.0000 0.0000 0.5000
Ga1 Ga 0.5000 0.5000 0.5000
Bi1 Bi 0.0000 0.0000 0.0000
```

Values from the calculation:
Total magnetization ... 0.204 μB per atom
Energy relative to the elements ... -0.100 eV/atom
DFT total energy ... -12.57 eV/f.u.
Density of states at the Fermi level ... 4.409 states/eV per cell

---

No. 4
Compound: Pm3ThN3
Source: Alexandria
Functional: PBE
Structure: optimized geometry

Structure (CIF):
```
data_Pm3ThN3
_cell_length_a 5.1265
_cell_length_b 5.1265
_cell_length_c 5.1265
_cell_angle_alpha 90.00
_cell_angle_beta 90.00
_cell_angle_gamma 90.00
_symmetry_space_group_name_H-M 'P m -3 m'
_symmetry_Int_Tables_number 221
_symmetry_space_group_name_Hall '-P 4 2 3'
loop_
_atom_site_label
_atom_site_type_symbol
_atom_site_fract_x
_atom_site_fract_y
_atom_site_fract_z
Pm1 Pm 0.0000 0.0000 0.5000
Th1 Th 0.5000 0.5000 0.5000
N1 N 0.0000 0.5000 0.5000
```

Values from the calculation:
Total magnetization ... 0.000 μB per atom
DFT total energy ... -55.44 eV/f.u.
Density of states at the Fermi level ... 3.540 states/eV per cell
Formation energy without anion corrections ... -1.26 eV per atom

---

No. 5
Compound: KIn2Se
Source: Alexandria
Functional: PBE
Structure: optimized geometry

Structure (CIF):
```
data_KIn2Se
_cell_length_a 3.8840
_cell_length_b 3.8840
_cell_length_c 8.1645
_cell_angle_alpha 90.00
_cell_angle_beta 90.00
_cell_angle_gamma 90.00
_symmetry_space_group_name_H-M 'P 4/m m m'
_symmetry_Int_Tables_number 123
_symmetry_space_group_name_Hall '-P 4 2'
loop_
_atom_site_label
_atom_site_type_symbol
_atom_site_fract_x
_atom_site_fract_y
_atom_site_fract_z
K1 K 0.0000 0.0000 0.0000
In1 In 0.5000 0.5000 0.3139
Se1 Se 0.0000 0.0000 0.5000
```

Values from the calculation:
Total magnetization ... 0.000 μB per atom
DFT total energy ... -11.15 eV/f.u.
Density of states at the Fermi level ... 1.554 states/eV per cell
Formation energy without anion corrections ... -0.27 eV per atom

---

No. 6
Compound: Ho3MgTl
Source: Alexandria
Functional: PBE
Structure: optimized geometry

Structure (CIF):
```
data_Ho3MgTl
_cell_length_a 5.0522
_cell_length_b 21.7619
_cell_length_c 5.0516
_cell_angle_alpha 90.00
_cell_angle_beta 90.00
_cell_angle_gamma 90.00
_symmetry_space_group_name_H-M 'C m c m'
_symmetry_Int_Tables_number 63
_symmetry_space_group_name_Hall '-C 2c 2'
loop_
_atom_site_label
_atom_site_type_symbol
_atom_site_fract_x
_atom_site_fract_y
_atom_site_fract_z
Ho1 Ho 0.0000 0.0541 0.2500
Ho2 Ho 0.0000 0.2496 0.2500
Ho3 Ho 0.0000 0.4423 0.2500
Mg1 Mg 0.0000 0.1525 0.7500
Tl1 Tl 0.0000 0.3448 0.7500
```

Values from the calculation:
Total magnetization ... 0.051 μB per atom
Energy relative to the elements ... -0.178 eV/atom
DFT total energy ... -18.58 eV/f.u.
Density of states at the Fermi level ... 21.319 states/eV per cell